LaCdPt2 | PBE-GGA | optimized geometry

Properties
Energy in eV/cell: -41.33

Cell: 4.1920 4.1920 9.5541 Å, 90.00 90.00 90.00°
Space group I-4m2 (No. 119)
Symmetry-distinct sites (fractional):
La  0.0000  0.0000  0.0000 x2
Cd  0.0000  0.5000  0.2500 x2
Pt  0.0000  0.0000  0.5000 x2
Pt  0.0000  0.5000  0.7500 x2